{
  "formula": "In3MoBr",
  "functional": "GGA-PBE",
  "state": "optimized geometry",
  "polymorph_energy_mev_per_atom": 722,
  "e_tot_ha_per_atom": -0.111,
  "cell": [[5.775, 0.000, 0.000], [0.000, 5.775, 0.000], [0.000, 0.000, 5.775]],
  "species": ["In", "In", "In", "Mo", "Br"],
  "fractional_positions": [[0.000, 0.000, 0.500], [0.000, 0.500, 0.000], [0.500, 0.000, 0.000], [0.500, 0.500, 0.500], [0.000, 0.000, 0.000]]
}

---

{
  "formula": "In2MoBr",
  "functional": "GGA-PBE",
  "state": "optimized geometry",
  "polymorph_energy_mev_per_atom": 98,
  "e_tot_ha_per_atom": -0.156,
  "cell": [[11.149, 0.000, 0.000], [0.000, 3.131, 0.000], [-1.695, 0.000, 5.074]],
  "species": ["In", "In", "In", "In", "Mo", "Mo", "Br", "Br"],
  "fractional_positions": [[0.000, 0.000, 0.000], [0.201, 0.000, 0.641], [0.500, 0.500, 0.000], [0.701, 0.500, 0.641], [0.235, 0.500, 0.124], [0.735, 0.000, 0.124], [0.410, 0.000, 0.418], [0.910, 0.500, 0.418]]
}

---

{
  "formula": "In2MoBr",
  "functional": "GGA-PBE",
  "state": "optimized geometry",
  "polymorph_energy_mev_per_atom": 196,
  "e_tot_ha_per_atom": -0.152,
  "cell": [[4.738, 0.000, 0.000], [0.000, 3.408, 0.000], [0.000, 0.000, 10.979]],
  "species": ["In", "In", "In", "In", "Mo", "Mo", "Br", "Br"],
  "fractional_positions": [[0.000, 0.000, 0.000], [0.000, 0.500, 0.500], [0.500, 0.000, 0.317], [0.500, 0.500, 0.817], [0.500, 0.000, 0.578], [0.500, 0.500, 0.078], [0.000, 0.000, 0.729], [0.000, 0.500, 0.229]]
}

---

{
  "formula": "In2MoBr",
  "functional": "GGA-PBE",
  "state": "optimized geometry",
  "polymorph_energy_mev_per_atom": 462,
  "e_tot_ha_per_atom": -0.142,
  "cell": [[3.258, 0.000, 0.000], [0.000, 5.195, 0.000], [0.000, 0.000, 5.411]],
  "species": ["In", "In", "Mo", "Br"],
  "fractional_positions": [[0.000, 0.000, 0.000], [0.500, 0.500, 0.000], [0.000, 0.500, 0.500], [0.500, 0.000, 0.500]]
}

---

{
  "formula": "InMoBr2",
  "functional": "GGA-PBE",
  "state": "optimized geometry",
  "polymorph_energy_mev_per_atom": 242,
  "e_tot_ha_per_atom": -0.150,
  "cell": [[3.365, 0.000, 0.000], [0.000, 6.158, 0.000], [0.000, 0.000, 9.990]],
  "species": ["In", "In", "Mo", "Mo", "Br", "Br", "Br", "Br"],
  "fractional_positions": [[0.000, 0.000, 0.000], [0.500, 0.500, 0.000], [0.000, 0.500, 0.773], [0.500, 0.000, 0.773], [0.000, 0.000, 0.582], [0.000, 0.500, 0.216], [0.500, 0.000, 0.216], [0.500, 0.500, 0.582]]
}

---

{
  "formula": "InMoBr",
  "functional": "GGA-PBE",
  "state": "optimized geometry",
  "polymorph_energy_mev_per_atom": 138,
  "e_tot_ha_per_atom": -0.171,
  "cell": [[3.071, 0.000, 0.000], [0.000, 3.071, 0.000], [0.000, 0.000, 14.405]],
  "species": ["In", "In", "Mo", "Mo", "Br", "Br"],
  "fractional_positions": [[0.000, 0.000, 0.000], [0.500, 0.500, 0.500], [0.000, 0.000, 0.649], [0.500, 0.500, 0.149], [0.000, 0.000, 0.256], [0.500, 0.500, 0.756]]
}

---

{
  "formula": "InMoBr2",
  "functional": "GGA-PBE",
  "state": "optimized geometry",
  "polymorph_energy_mev_per_atom": 280,
  "e_tot_ha_per_atom": -0.148,
  "cell": [[8.893, 0.000, 0.000], [0.000, 8.893, 0.000], [0.000, 0.000, 5.698]],
  "species": ["In", "In", "In", "In", "Mo", "Mo", "Mo", "Mo", "Br", "Br", "Br", "Br", "Br", "Br", "Br", "Br"],
  "fractional_positions": [[0.000, 0.000, 0.000], [0.000, 0.500, 0.250], [0.500, 0.000, 0.750], [0.500, 0.500, 0.500], [0.000, 0.000, 0.500], [0.000, 0.500, 0.750], [0.500, 0.000, 0.250], [0.500, 0.500, 0.000], [0.117, 0.250, 0.625], [0.250, 0.617, 0.875], [0.250, 0.883, 0.375], [0.383, 0.250, 0.125], [0.617, 0.750, 0.125], [0.750, 0.117, 0.375], [0.750, 0.383, 0.875], [0.883, 0.750, 0.625]]
}

---

{
  "formula": "InMoBr2",
  "functional": "GGA-PBE",
  "state": "optimized geometry",
  "polymorph_energy_mev_per_atom": 360,
  "e_tot_ha_per_atom": -0.145,
  "cell": [[3.660, 0.000, 0.000], [0.000, 3.660, 0.000], [0.000, 0.000, 7.962]],
  "species": ["In", "Mo", "Br", "Br"],
  "fractional_positions": [[0.000, 0.000, 0.000], [0.500, 0.500, 0.132], [0.000, 0.000, 0.366], [0.500, 0.500, 0.788]]
}

---

{
  "formula": "In2MoBr",
  "functional": "GGA-PBE",
  "state": "optimized geometry",
  "polymorph_energy_mev_per_atom": 142,
  "e_tot_ha_per_atom": -0.154,
  "cell": [[3.341, 0.000, 0.000], [0.000, 3.341, 0.000], [0.000, 0.000, 8.145]],
  "species": ["In", "In", "Mo", "Br"],
  "fractional_positions": [[0.000, 0.000, 0.208], [0.000, 0.000, 0.792], [0.500, 0.500, 0.000], [0.500, 0.500, 0.500]]
}

---

{
  "formula": "InMoBr2",
  "functional": "GGA-PBE",
  "state": "optimized geometry",
  "polymorph_energy_mev_per_atom": 731,
  "e_tot_ha_per_atom": -0.132,
  "cell": [[7.522, 0.000, 0.000], [0.000, 7.522, 0.000], [0.000, 0.000, 7.522]],
  "species": ["In", "In", "In", "In", "Mo", "Mo", "Mo", "Mo", "Br", "Br", "Br", "Br", "Br", "Br", "Br", "Br"],
  "fractional_positions": [[0.000, 0.000, 0.000], [0.000, 0.500, 0.500], [0.500, 0.000, 0.500], [0.500, 0.500, 0.000], [0.250, 0.250, 0.250], [0.250, 0.750, 0.750], [0.750, 0.250, 0.750], [0.750, 0.750, 0.250], [0.000, 0.000, 0.500], [0.000, 0.500, 0.000], [0.250, 0.250, 0.750], [0.250, 0.750, 0.250], [0.500, 0.000, 0.000], [0.500, 0.500, 0.500], [0.750, 0.250, 0.250], [0.750, 0.750, 0.750]]
}

---

{
  "formula": "InMoBr2",
  "functional": "GGA-PBE",
  "state": "optimized geometry",
  "polymorph_energy_mev_per_atom": 567,
  "e_tot_ha_per_atom": -0.138,
  "cell": [[4.325, 0.000, 0.000], [0.000, 4.325, 0.000], [0.000, 0.000, 12.519]],
  "species": ["In", "In", "Mo", "Mo", "Br", "Br", "Br", "Br"],
  "fractional_positions": [[0.000, 0.000, 0.000], [0.500, 0.500, 0.500], [0.000, 0.500, 0.750], [0.500, 0.000, 0.250], [0.000, 0.000, 0.500], [0.000, 0.500, 0.250], [0.500, 0.000, 0.750], [0.500, 0.500, 0.000]]
}

---

{
  "formula": "In2MoBr",
  "functional": "GGA-PBE",
  "state": "optimized geometry",
  "polymorph_energy_mev_per_atom": 123,
  "e_tot_ha_per_atom": -0.155,
  "cell": [[3.399, 0.000, 0.000], [-1.699, 2.944, 0.000], [0.000, 0.000, 26.905]],
  "species": ["In", "In", "In", "In", "In", "In", "Mo", "Mo", "Mo", "Br", "Br", "Br"],
  "fractional_positions": [[0.000, 0.000, 0.244], [0.000, 0.000, 0.756], [0.333, 0.667, 0.423], [0.333, 0.667, 0.910], [0.667, 0.333, 0.090], [0.667, 0.333, 0.577], [0.000, 0.000, 0.500], [0.333, 0.667, 0.167], [0.667, 0.333, 0.833], [0.000, 0.000, 0.000], [0.333, 0.667, 0.667], [0.667, 0.333, 0.333]]
}

---

{
  "formula": "In2MoBr",
  "functional": "GGA-PBE",
  "state": "optimized geometry",
  "polymorph_energy_mev_per_atom": 368,
  "e_tot_ha_per_atom": -0.146,
  "cell": [[10.699, 0.000, 0.000], [0.000, 10.699, 0.000], [0.000, 0.000, 4.947]],
  "species": ["In", "In", "In", "In", "In", "In", "In", "In", "Mo", "Mo", "Mo", "Mo", "Br", "Br", "Br", "Br"],
  "fractional_positions": [[0.001, 0.250, 0.125], [0.250, 0.501, 0.375], [0.250, 0.999, 0.875], [0.499, 0.250, 0.625], [0.501, 0.750, 0.625], [0.750, 0.001, 0.875], [0.750, 0.499, 0.375], [0.999, 0.750, 0.125], [0.000, 0.000, 0.000], [0.000, 0.500, 0.250], [0.500, 0.000, 0.750], [0.500, 0.500, 0.500], [0.000, 0.000, 0.500], [0.000, 0.500, 0.750], [0.500, 0.000, 0.250], [0.500, 0.500, 0.000]]
}

---

{
  "formula": "In2MoBr",
  "functional": "GGA-PBE",
  "state": "optimized geometry",
  "polymorph_energy_mev_per_atom": 45,
  "e_tot_ha_per_atom": -0.158,
  "cell": [[3.358, 0.000, 0.000], [0.000, 3.287, 0.000], [-0.014, 0.000, 8.413]],
  "species": ["In", "In", "Mo", "Br"],
  "fractional_positions": [[0.000, 0.000, 0.203], [0.000, 0.000, 0.797], [0.500, 0.500, 0.000], [0.000, 0.500, 0.500]]
}

---

{
  "formula": "In2MoBr",
  "functional": "GGA-PBE",
  "state": "optimized geometry",
  "polymorph_energy_mev_per_atom": 87,
  "e_tot_ha_per_atom": -0.156,
  "cell": [[3.083, 0.000, 0.000], [0.000, 4.842, 0.000], [0.000, 0.000, 13.666]],
  "species": ["In", "In", "In", "In", "Mo", "Mo", "Br", "Br"],
  "fractional_positions": [[0.000, 0.000, 0.000], [0.000, 0.500, 0.161], [0.500, 0.000, 0.661], [0.500, 0.500, 0.500], [0.000, 0.500, 0.686], [0.500, 0.000, 0.186], [0.000, 0.000, 0.338], [0.500, 0.500, 0.838]]
}

---

{
  "formula": "In2MoBr",
  "functional": "GGA-PBE",
  "state": "optimized geometry",
  "polymorph_energy_mev_per_atom": 539,
  "e_tot_ha_per_atom": -0.139,
  "cell": [[7.219, 0.000, 0.000], [0.000, 7.219, 0.000], [0.000, 0.000, 7.219]],
  "species": ["In", "In", "In", "In", "In", "In", "In", "In", "Mo", "Mo", "Mo", "Mo", "Br", "Br", "Br", "Br"],
  "fractional_positions": [[0.000, 0.000, 0.000], [0.000, 0.500, 0.500], [0.250, 0.250, 0.250], [0.250, 0.750, 0.750], [0.500, 0.000, 0.500], [0.500, 0.500, 0.000], [0.750, 0.250, 0.750], [0.750, 0.750, 0.250], [0.250, 0.250, 0.750], [0.250, 0.750, 0.250], [0.750, 0.250, 0.250], [0.750, 0.750, 0.750], [0.000, 0.000, 0.500], [0.000, 0.500, 0.000], [0.500, 0.000, 0.000], [0.500, 0.500, 0.500]]
}

---

{
  "formula": "InMoBr",
  "functional": "GGA-PBE",
  "state": "optimized geometry",
  "polymorph_energy_mev_per_atom": 348,
  "e_tot_ha_per_atom": -0.163,
  "cell": [[4.722, 0.000, 0.000], [-2.361, 4.090, 0.000], [0.000, 0.000, 3.114]],
  "species": ["In", "Mo", "Br"],
  "fractional_positions": [[0.000, 0.000, 0.000], [0.667, 0.333, 0.500], [0.333, 0.667, 0.500]]
}

---

{
  "formula": "In2MoBr",
  "functional": "GGA-PBE",
  "state": "optimized geometry",
  "polymorph_energy_mev_per_atom": 130,
  "e_tot_ha_per_atom": -0.155,
  "cell": [[3.148, 0.000, 0.000], [0.000, 3.148, 0.000], [0.000, 0.000, 9.567]],
  "species": ["In", "In", "Mo", "Br"],
  "fractional_positions": [[0.000, 0.000, 0.000], [0.500, 0.500, 0.269], [0.000, 0.000, 0.478], [0.500, 0.500, 0.639]]
}

---

{
  "formula": "In3MoBr",
  "functional": "GGA-PBE",
  "state": "optimized geometry",
  "polymorph_energy_mev_per_atom": 0,
  "e_tot_ha_per_atom": -0.137,
  "cell": [[5.446, 0.000, 0.000], [0.000, 5.446, 0.000], [0.000, 0.000, 5.446]],
  "species": ["In", "In", "In", "Mo", "Br"],
  "fractional_positions": [[0.000, 0.000, 0.500], [0.000, 0.500, 0.000], [0.500, 0.000, 0.000], [0.000, 0.000, 0.000], [0.500, 0.500, 0.500]]
}

---

{
  "formula": "InMoBr",
  "functional": "GGA-PBE",
  "state": "optimized geometry",
  "polymorph_energy_mev_per_atom": 620,
  "e_tot_ha_per_atom": -0.153,
  "cell": [[6.783, 0.000, 0.000], [0.000, 6.783, 0.000], [0.000, 0.000, 6.783]],
  "species": ["In", "In", "In", "In", "Mo", "Mo", "Mo", "Mo", "Br", "Br", "Br", "Br"],
  "fractional_positions": [[0.000, 0.000, 0.000], [0.000, 0.500, 0.500], [0.500, 0.000, 0.500], [0.500, 0.500, 0.000], [0.250, 0.250, 0.250], [0.250, 0.750, 0.750], [0.750, 0.250, 0.750], [0.750, 0.750, 0.250], [0.000, 0.000, 0.500], [0.000, 0.500, 0.000], [0.500, 0.000, 0.000], [0.500, 0.500, 0.500]]
}

---

| no. | formation energy without anion corrections (eV per atom) |
| --- | --- |
| 1 | 1.13 |
| 2 | 0.26 |
| 3 | 0.36 |
| 4 | 0.62 |
| 5 | 0.16 |
| 6 | 0.43 |
| 7 | 0.19 |
| 8 | 0.27 |
| 9 | 0.30 |
| 10 | 0.65 |
| 11 | 0.48 |
| 12 | 0.28 |
| 13 | 0.53 |
| 14 | 0.21 |
| 15 | 0.25 |
| 16 | 0.70 |
| 17 | 0.64 |
| 18 | 0.29 |
| 19 | 0.41 |
| 20 | 0.91 |